Compound: TcRh2Br
Source: Alexandria
Functional: SCAN
Structure: PBEsol geometry Values from VASP.

```
&SYSTEM
  ibrav = 0, nat = 4, ntyp = 3
/
ATOMIC_SPECIES
Rh 102.91 Rh.upf
Tc 98.00 Tc.upf
Br 79.90 Br.upf
CELL_PARAMETERS angstrom
-0.963 3.000 -3.073
-3.363 -0.675 -2.757
-3.659 2.420 0.358
ATOMIC_POSITIONS crystal
Rh 0.250 0.250 0.250
Rh 0.750 0.750 0.750
Tc 0.500 0.500 0.500
Br 0.000 0.000 0.000
```

Results
**Space group**: No. 225
**Calculated volume**: 60.28 Å³/cell
**Uncorrected energy**: -2.1765 Ry per atom

Compound: Fe3Co5
Source: Alexandria
Functional: SCAN
Structure: PBEsol geometry Values from VASP.

```
&SYSTEM
  ibrav = 0, nat = 8, ntyp = 2
/
ATOMIC_SPECIES
Co 58.93 Co.upf
Fe 55.84 Fe.upf
CELL_PARAMETERS angstrom
3.934 0.000 0.000
1.967 3.407 0.000
1.967 1.136 6.430
ATOMIC_POSITIONS crystal
Co 0.627 0.627 0.118
Co 0.124 0.124 0.629
Co 0.249 0.249 0.253
Co 0.502 0.502 0.495
Co 0.998 0.998 0.006
Fe 0.750 0.750 0.749
Fe 0.875 0.875 0.375
Fe 0.375 0.375 0.876
```

Results
**E_form**: -100 meV per atom
**Space group**: No. 160
**Calculated volume**: 86.19 Å³/cell

Compound: ReRu
Source: Alexandria
Functional: SCAN
Structure: PBEsol geometry Values from VASP.

```
&SYSTEM
  ibrav = 0, nat = 2, ntyp = 2
/
ATOMIC_SPECIES
Re 186.21 Re.upf
Ru 101.07 Ru.upf
CELL_PARAMETERS angstrom
-0.078 0.260 3.042
0.347 -3.023 0.267
3.034 0.352 0.048
ATOMIC_POSITIONS crystal
Re 0.000 0.000 0.000
Ru 0.500 0.500 0.500
```

Results
**E_form**: 568 meV per atom
**Space group**: No. 221
**Calculated volume**: 28.49 Å³/cell

Compound: BaTcTe3
Source: Alexandria
Functional: SCAN
Structure: PBEsol geometry Values from VASP.

```
&SYSTEM
  ibrav = 0, nat = 5, ntyp = 3
/
ATOMIC_SPECIES
Tc 98.00 Tc.upf
Te 127.60 Te.upf
Ba 137.33 Ba.upf
CELL_PARAMETERS angstrom
6.204 0.000 0.000
0.000 6.204 0.000
0.000 0.000 6.204
ATOMIC_POSITIONS crystal
Tc 0.500 0.500 0.500
Te 0.000 0.500 0.000
Te 0.000 0.000 0.500
Te 0.500 0.000 0.000
Ba 0.000 0.000 0.000
```

Results
**Space group**: No. 221
**Calculated volume**: 238.75 Å³/cell
**Uncorrected energy**: -2.6574 Ry per atom

Compound: Mn2FeCo
Source: Alexandria
Functional: SCAN
Structure: PBEsol geometry Values from VASP.

```
&SYSTEM
  ibrav = 0, nat = 4, ntyp = 3
/
ATOMIC_SPECIES
Co 58.93 Co.upf
Fe 55.84 Fe.upf
Mn 54.94 Mn.upf
CELL_PARAMETERS angstrom
3.438 0.000 0.000
0.000 3.438 0.000
-1.719 -1.719 3.432
ATOMIC_POSITIONS crystal
Co 0.500 0.500 0.000
Fe 0.000 0.000 0.000
Mn 0.750 0.250 0.500
Mn 0.250 0.750 0.500
```

Results
**E_form**: 91 meV per atom
**Space group**: No. 139
**Calculated volume**: 40.56 Å³/cell

Compound: CdInHg3
Source: Alexandria
Functional: SCAN
Structure: PBEsol geometry Values from VASP.

```
&SYSTEM
  ibrav = 0, nat = 5, ntyp = 3
/
ATOMIC_SPECIES
In 114.82 In.upf
Hg 200.59 Hg.upf
Cd 112.41 Cd.upf
CELL_PARAMETERS angstrom
-1.388 2.516 4.519
0.256 -4.639 2.662
5.165 0.905 1.082
ATOMIC_POSITIONS crystal
In 0.500 0.500 0.500
Hg 0.000 0.000 0.500
Hg 0.000 0.500 0.000
Hg 0.500 0.000 0.000
Cd 0.000 0.000 0.000
```

Results
**E_form**: 232 meV per atom
**Space group**: No. 221
**Calculated volume**: 153.53 Å³/cell

Compound: Zr4Co
Source: Alexandria
Functional: SCAN
Structure: PBEsol geometry Values from VASP.

```
&SYSTEM
  ibrav = 0, nat = 5, ntyp = 2
/
ATOMIC_SPECIES
Zr 91.22 Zr.upf
Co 58.93 Co.upf
CELL_PARAMETERS angstrom
-2.723 0.964 2.236
-2.430 -1.292 -2.402
2.916 -6.930 3.556
ATOMIC_POSITIONS crystal
Zr 0.419 0.419 0.837
Zr 0.581 0.581 0.163
Zr 0.250 0.750 0.500
Zr 0.750 0.250 0.500
Co 0.000 0.000 0.000
```

Results
**E_form**: 726 meV per atom
**Space group**: No. 139
**Calculated volume**: 105.52 Å³/cell

Compound: CdHg
Source: Alexandria
Functional: SCAN
Structure: PBEsol geometry Values from VASP.

```
&SYSTEM
  ibrav = 0, nat = 4, ntyp = 2
/
ATOMIC_SPECIES
Hg 200.59 Hg.upf
Cd 112.41 Cd.upf
CELL_PARAMETERS angstrom
-0.035 1.423 2.781
-2.687 -0.796 -1.381
0.303 -9.158 4.691
ATOMIC_POSITIONS crystal
Hg 0.667 0.333 0.628
Hg 0.333 0.667 0.372
Cd 0.667 0.333 0.123
Cd 0.333 0.667 0.877
```

Results
**E_form**: 54 meV per atom
**Space group**: No. 164
**Calculated volume**: 87.02 Å³/cell

Compound: TiH2SO6
Source: Alexandria
Functional: SCAN
Structure: PBEsol geometry Values from VASP.

```
&SYSTEM
  ibrav = 0, nat = 40, ntyp = 4
/
ATOMIC_SPECIES
O 16.00 O.upf
H 1.01 H.upf
S 32.06 S.upf
Ti 47.87 Ti.upf
CELL_PARAMETERS angstrom
-2.667 0.492 -4.299
5.611 -5.237 -4.080
-5.481 -7.823 2.505
ATOMIC_POSITIONS crystal
O 0.214 0.892 0.965
O 0.032 0.632 0.213
O 0.250 0.091 0.791
O 0.714 0.608 0.035
O 0.786 0.392 0.535
O 0.745 0.978 0.067
O 0.432 0.154 0.233
O 0.954 0.732 0.478
O 0.932 0.346 0.767
O 0.454 0.768 0.522
O 0.250 0.909 0.291
O 0.255 0.478 0.433
O 0.750 0.591 0.709
O 0.532 0.868 0.787
O 0.968 0.132 0.287
O 0.568 0.654 0.267
O 0.468 0.368 0.713
O 0.068 0.846 0.733
O 0.046 0.232 0.022
O 0.245 0.522 0.933
O 0.546 0.268 0.978
O 0.286 0.108 0.465
O 0.755 0.022 0.567
O 0.750 0.409 0.209
H 0.419 0.424 0.460
H 0.405 0.568 0.977
H 0.095 0.432 0.477
H 0.919 0.076 0.540
H 0.905 0.932 0.023
H 0.081 0.576 0.960
H 0.595 0.068 0.523
H 0.581 0.924 0.040
S 0.736 0.422 0.679
S 0.764 0.578 0.179
S 0.264 0.922 0.821
S 0.236 0.078 0.321
Ti 0.742 0.793 0.619
Ti 0.242 0.707 0.381
Ti 0.258 0.293 0.881
Ti 0.758 0.207 0.119
```

Results
**Space group**: No. 19
**Calculated volume**: 436.35 Å³/cell
**Uncorrected energy**: -0.6562 Ry per atom

Compound: CaFeTe2
Source: Alexandria
Functional: SCAN
Structure: PBEsol geometry Values from VASP.

```
&SYSTEM
  ibrav = 0, nat = 4, ntyp = 3
/
ATOMIC_SPECIES
Te 127.60 Te.upf
Fe 55.84 Fe.upf
Ca 40.08 Ca.upf
CELL_PARAMETERS angstrom
4.154 0.000 -0.032
0.000 4.449 0.000
-2.029 0.000 6.074
ATOMIC_POSITIONS crystal
Te 0.778 0.000 0.930
Te 0.478 0.500 0.331
Fe 0.682 0.500 0.739
Ca 0.062 0.000 0.499
```

Results
**Space group**: No. 38
**Calculated volume**: 111.94 Å³/cell
**Uncorrected energy**: -1.9265 Ry per atom

Compound: Na4H4PdPt
Source: Alexandria
Functional: SCAN
Structure: PBEsol geometry Values from VASP.

```
&SYSTEM
  ibrav = 0, nat = 10, ntyp = 4
/
ATOMIC_SPECIES
Pd 106.42 Pd.upf
Na 22.99 Na.upf
Pt 195.08 Pt.upf
H 1.01 H.upf
CELL_PARAMETERS angstrom
3.517 0.000 0.000
0.000 3.517 0.000
0.000 0.000 11.092
ATOMIC_POSITIONS crystal
Pd 0.000 0.000 0.000
Na 0.000 0.000 0.636
Na 0.500 0.500 0.141
Na 0.500 0.500 0.859
Na 0.000 0.000 0.364
Pt 0.500 0.500 0.500
H 0.000 0.000 0.151
H 0.000 0.000 0.849
H 0.500 0.500 0.350
H 0.500 0.500 0.650
```

Results
**Space group**: No. 123
**Calculated volume**: 137.22 Å³/cell
**Uncorrected energy**: -1.0086 Ry per atom

Compound: Be2ReMo
Source: Alexandria
Functional: SCAN
Structure: PBEsol geometry Values from VASP.

```
&SYSTEM
  ibrav = 0, nat = 4, ntyp = 3
/
ATOMIC_SPECIES
Mo 95.94 Mo.upf
Be 9.01 Be.upf
Re 186.21 Re.upf
CELL_PARAMETERS angstrom
3.127 0.000 0.000
0.000 3.201 0.000
-1.564 0.000 4.375
ATOMIC_POSITIONS crystal
Mo 0.096 0.000 0.192
Be 0.683 0.500 0.366
Be 0.818 0.000 0.637
Re 0.402 0.500 0.804
```

Results
**E_form**: -261 meV per atom
**Space group**: No. 38
**Calculated volume**: 43.80 Å³/cell